# 1
A relaxed Hf3As2S2 crystal, computed with PBE.

Geometry as CIF:
```
data_Hf3As2S2
_cell_length_a 3.6913
_cell_length_b 6.3663
_cell_length_c 6.3993
_cell_angle_alpha 98.44
_cell_angle_beta 90.06
_cell_angle_gamma 106.81
_space_group_name_H-M_alt 'P -1'
_space_group_IT_number 2
loop_
_space_group_symop_operation_xyz
'x,y,z'
'-x,-y,-z'
loop_
_atom_site_label
_atom_site_type_symbol
_atom_site_fract_x
_atom_site_fract_y
_atom_site_fract_z
_atom_site_occupancy
Hf1 Hf 0.0000 0.0000 0.0000 1
Hf2 Hf 0.2526 0.5050 0.7446 1
As1 As 0.1120 0.2231 0.3877 1
S1 S 0.3727 0.7458 0.1214 1
```

# 2
A relaxed Ca2AgTe crystal, computed with PBE.

Geometry as CIF:
```
data_Ca2AgTe
_cell_length_a 4.4575
_cell_length_b 4.4575
_cell_length_c 24.0959
_cell_angle_alpha 90.00
_cell_angle_beta 90.00
_cell_angle_gamma 120.00
_space_group_name_H-M_alt 'R 3 m'
_space_group_IT_number 160
_space_group_name_Hall 'R 3 -2"'
loop_
_atom_site_label
_atom_site_type_symbol
_atom_site_fract_x
_atom_site_fract_y
_atom_site_fract_z
_atom_site_occupancy
Ca1 Ca 0.0000 0.0000 0.0000 1
Ca2 Ca 0.0000 0.0000 0.1977 1
Ag1 Ag 0.0000 0.0000 0.4652 1
Te1 Te 0.0000 0.0000 0.7421 1
```

| no. | size of the total moment (μB/f.u.) | raw formation energy (eV per atom) |
| --- | --- | --- |
| 1 | 0.00 | -1.117 |
| 2 | 0.00 | -0.449 |